DFT (GGA-PBE) results for crystalline CsSr3Rh at its relaxed geometry.

Summary:
E_tot, eV/atom: -1.14
Energy above the most stable polymorph in this dataset, meV/atom: 1570
Energy of formation from the pure elements, eV per atom: 1.510

Cell lengths 6.0623, 6.0623, 6.0623 Å; angles 90.00, 90.00, 90.00 degrees
Last column: nearest neighbours and their distance in Å.
Fractional coordinates of all 5 atoms:
Cs  0.0000  0.0000  0.0000  6 Sr 3.03
Sr  0.0000  0.0000  0.5000  2 Cs 3.03
Sr  0.0000  0.5000  0.0000  2 Cs 3.03
Sr  0.5000  0.0000  0.0000  2 Cs 3.03
Rh  0.5000  0.5000  0.5000  12 Sr 4.29